1.
# Th8GeAs4Se3

Crystalline Th8GeAs4Se3 at its relaxed geometry (PBE-GGA, the Alexandria database).

Cell: 8.490 8.490 8.490 Å, 59.99 59.99 59.99°
Atoms (fractional coordinates):
Th1 0.245 0.751 0.751
Th2 0.248 0.248 0.248
Th3 0.249 0.249 0.755
Th4 0.249 0.755 0.249
Th5 0.751 0.245 0.751
Th6 0.751 0.751 0.245
Th7 0.752 0.752 0.752
Th8 0.755 0.249 0.249
Ge1 0.000 0.000 0.000
As1 0.000 0.000 0.500
As2 0.000 0.500 0.000
As3 0.500 0.000 0.000
As4 0.500 0.500 0.500
Se1 0.000 0.500 0.500
Se2 0.500 0.000 0.500
Se3 0.500 0.500 0.000

Formation energy without anion corrections: -1.408 eV/atom
Symmetry: R-3m
ρ: 9.46 Mg/m³
M_tot: 0.00 μB per cell


2.
# Th6Ge3As2Se

Crystalline Th6Ge3As2Se at its relaxed geometry (PBE-GGA, the Alexandria database).

Cell: 9.557 9.557 8.540 Å, 102.55 102.55 25.91°
Atoms (fractional coordinates):
Th1 0.000 0.000 0.243
Th2 0.000 0.000 0.757
Th3 0.330 0.330 0.417
Th4 0.334 0.334 0.915
Th5 0.666 0.666 0.085
Th6 0.670 0.670 0.583
Ge1 0.165 0.165 0.334
Ge2 0.500 0.500 0.000
Ge3 0.835 0.835 0.666
As1 0.166 0.166 0.832
As2 0.834 0.834 0.168
Se1 0.500 0.500 0.500

Formation energy without anion corrections: -1.144 eV/atom
Symmetry: C2/m
ρ: 9.19 Mg/m³
M_tot: 0.00 μB per cell


3.
# Th6Ge3AsSe2

Crystalline Th6Ge3AsSe2 at its relaxed geometry (PBE-GGA, the Alexandria database).

Cell: 9.533 9.533 8.525 Å, 102.30 102.30 25.96°
Atoms (fractional coordinates):
Th1 0.002 0.002 0.250
Th2 0.333 0.333 0.424
Th3 0.336 0.336 0.912
Th4 0.664 0.664 0.088
Th5 0.667 0.667 0.576
Th6 0.998 0.998 0.750
Ge1 0.168 0.168 0.333
Ge2 0.500 0.500 0.000
Ge3 0.832 0.832 0.667
As1 0.500 0.500 0.500
Se1 0.167 0.167 0.833
Se2 0.833 0.833 0.167

Formation energy without anion corrections: -1.184 eV/atom
Symmetry: C2/m
ρ: 9.25 Mg/m³
M_tot: 0.00 μB per cell